No. 1
First-principles (PBE) data for a geometry-optimized Ta3ZnIn structure, as listed in Alexandria via LeMat-Bulk.

Summary:
- E above lowest polymorph (meV/atom) = 1050.3

Unit cell a=4.992 b=4.992 c=4.992 alpha=90.00 beta=90.00 gamma=90.00
Space group Pm-3m (No. 221)
Asymmetric unit:
Ta (0.000, 0.000, 0.500) x3
Zn (0.500, 0.500, 0.500) x1
In (0.000, 0.000, 0.000) x1

No. 2
First-principles (PBE) data for a geometry-optimized TaZn3In structure, as listed in Alexandria via LeMat-Bulk.

Summary:
- E above lowest polymorph (meV/atom) = 396.6

Unit cell a=4.843 b=4.843 c=4.843 alpha=90.00 beta=90.00 gamma=90.00
Space group Pm-3m (No. 221)
Asymmetric unit:
Ta (0.000, 0.000, 0.000) x1
Zn (0.000, 0.500, 0.500) x3
In (0.500, 0.500, 0.500) x1

No. 3
First-principles (PBE) data for a geometry-optimized Ta2ZnIn structure, as listed in Alexandria via LeMat-Bulk.

Unit cell a=3.526 b=3.526 c=6.065 alpha=90.00 beta=90.00 gamma=90.00
Space group P4mm (No. 99)
Asymmetric unit:
Ta (0.000, 0.000, 0.000) x1
Ta (0.500, 0.500, 0.199) x1
Zn (0.000, 0.000, 0.456) x1
In (0.500, 0.500, 0.703) x1

No. 4
First-principles (PBE) data for a geometry-optimized TaZn3In structure, as listed in Alexandria via LeMat-Bulk.

Summary:
- E above lowest polymorph (meV/atom) = 0.0

Unit cell a=5.081 b=5.081 c=5.081 alpha=90.00 beta=90.00 gamma=90.00
Space group Pm-3m (No. 221)
Asymmetric unit:
Ta (0.000, 0.000, 0.000) x1
Zn (0.000, 0.000, 0.500) x3
In (0.500, 0.500, 0.500) x1

No. 5
First-principles (PBE) data for a geometry-optimized Ta2ZnIn structure, as listed in Alexandria via LeMat-Bulk.

Unit cell a=2.871 b=4.418 c=5.707 alpha=90.00 beta=95.34 gamma=90.00
Space group P2/m (No. 10)
Asymmetric unit:
Ta (0.033, 0.000, 0.261) x2
Zn (0.500, 0.500, 0.500) x1
In (0.500, 0.500, 0.000) x1

No. 6
First-principles (PBE) data for a geometry-optimized Ta2ZnIn structure, as listed in Alexandria via LeMat-Bulk.

Unit cell a=7.428 b=7.428 c=5.602 alpha=90.00 beta=90.00 gamma=90.00
Space group I-42d (No. 122)
Asymmetric unit:
Ta (0.234, 0.750, 0.125) x8
Zn (0.000, 0.000, 0.000) x4
In (0.000, 0.000, 0.500) x4

No. 7
First-principles (PBE) data for a geometry-optimized Ta2ZnIn structure, as listed in Alexandria via LeMat-Bulk.

Unit cell a=2.930 b=2.930 c=8.333 alpha=90.00 beta=90.00 gamma=90.00
Space group P4/mmm (No. 123)
Asymmetric unit:
Ta (0.000, 0.000, 0.226) x2
Zn (0.500, 0.500, 0.000) x1
In (0.500, 0.500, 0.500) x1

No. 8
First-principles (PBE) data for a geometry-optimized TaZnIn3 structure, as listed in Alexandria via LeMat-Bulk.

Summary:
- E above lowest polymorph (meV/atom) = 256.2

Unit cell a=5.022 b=5.022 c=5.022 alpha=90.00 beta=90.00 gamma=90.00
Space group Pm-3m (No. 221)
Asymmetric unit:
Ta (0.000, 0.000, 0.000) x1
Zn (0.500, 0.500, 0.500) x1
In (0.000, 0.500, 0.500) x3

No. 9
First-principles (PBE) data for a geometry-optimized Ta2ZnIn structure, as listed in Alexandria via LeMat-Bulk.

Unit cell a=2.9844 b=2.9844 c=28.7812 alpha=90.00 beta=90.00 gamma=120.00
Space group R-3m (No. 166, hexagonal axes)
Asymmetric unit:
Ta (0.0000, 0.0000, 0.2463) x6
Zn (0.0000, 0.0000, 0.5000) x3
In (0.0000, 0.0000, 0.0000) x3

No. 10
First-principles (PBE) data for a geometry-optimized Ta2ZnIn structure, as listed in Alexandria via LeMat-Bulk.

Unit cell a=2.992 b=4.269 c=5.906 alpha=90.00 beta=104.11 gamma=90.00
Space group Pm (No. 6)
Asymmetric unit:
Ta (0.000, 0.000, 0.000) x1
Ta (0.347, 0.500, 0.735) x1
Zn (0.602, 0.500, 0.210) x1
In (0.727, 0.000, 0.483) x1

No. 11
First-principles (PBE) data for a geometry-optimized TaZn4In structure, as listed in Alexandria via LeMat-Bulk.

Unit cell a=7.355 b=7.355 c=7.355 alpha=90.00 beta=90.00 gamma=90.00
Space group F-43m (No. 216)
Asymmetric unit:
Ta (0.000, 0.000, 0.000) x4
Zn (0.127, 0.127, 0.627) x16
In (0.250, 0.250, 0.250) x4

No. 12
First-principles (PBE) data for a geometry-optimized Ta2ZnIn structure, as listed in Alexandria via LeMat-Bulk.

Unit cell a=3.442 b=3.442 c=6.098 alpha=90.00 beta=90.00 gamma=90.00
Space group P4/mmm (No. 123)
Asymmetric unit:
Ta (0.000, 0.000, 0.219) x2
Zn (0.500, 0.500, 0.000) x1
In (0.500, 0.500, 0.500) x1

Number 1: total DFT energy (no corrections) -5.7584 eV/atom, calculated formation energy 10.78 eV per formula unit. Number 2: total DFT energy (no corrections) -2.3035 eV/atom, calculated formation energy 6.90 eV per formula unit. Number 3: total DFT energy (no corrections) -6.7683 eV/atom, calculated formation energy 0.64 eV per formula unit. Number 4: total DFT energy (no corrections) -2.7000 eV/atom, calculated formation energy 4.91 eV per formula unit. Number 5: total DFT energy (no corrections) -6.7937 eV/atom, calculated formation energy 0.54 eV per formula unit. Number 6: total DFT energy (no corrections) -6.3329 eV/atom, calculated formation energy 2.39 eV per formula unit. Number 7: total DFT energy (no corrections) -6.7906 eV/atom, calculated formation energy 0.56 eV per formula unit. Number 8: total DFT energy (no corrections) -3.1836 eV/atom, calculated formation energy 5.42 eV per formula unit. Number 9: total DFT energy (no corrections) -6.6853 eV/atom, calculated formation energy 0.98 eV per formula unit. Number 10: total DFT energy (no corrections) -6.7890 eV/atom, calculated formation energy 0.56 eV per formula unit. Number 11: total DFT energy (no corrections) -3.0118 eV/atom, calculated formation energy 1.62 eV per formula unit. Number 12: total DFT energy (no corrections) -6.5929 eV/atom, calculated formation energy 1.35 eV per formula unit.